The following is a GGA-PBEsol calculation of crystalline TaAl2Ag at its relaxed geometry, from Alexandria.

As for the magnetization: 0.00 μB/cell. As for the energy of formation from the pure elements: 0.12 eV/atom. The value obtained for the relative energy among the computed polymorphs is 0.274 eV per atom.

The space group is I4/mmm (No. 139) and the conventional cell measures 4.142, 4.142 and 7.534 Å, with angles of 90.00, 90.00 and 90.00 degrees. The inequivalent atoms are Ta at (0.000, 0.000, 0.000), Al at (0.000, 0.500, 0.250) and Ag at (0.000, 0.000, 0.500).